A plane-wave DFT calculation with PBE-GGA was carried out for a geometry-optimized CaZrBe2 structure.

Cell and atoms, written as CIF:
```
data_CaZrBe2
_symmetry_space_group_name_H-M 'P 1'
_symmetry_Int_Tables_number 1
_cell_length_a 6.029
_cell_length_b 6.029
_cell_length_c 6.029
_cell_angle_alpha 106.99
_cell_angle_beta 106.99
_cell_angle_gamma 114.57
loop_
_symmetry_equiv_pos_as_xyz
'x,y,z'
loop_
_atom_site_label
_atom_site_type_symbol
_atom_site_fract_x
_atom_site_fract_y
_atom_site_fract_z
Ca1 Ca 0.000 0.000 0.000
Ca2 Ca 0.750 0.250 0.500
Zr1 Zr 0.250 0.750 0.500
Zr2 Zr 0.500 0.500 0.000
Be1 Be 0.153 0.625 0.028
Be2 Be 0.375 0.403 0.528
Be3 Be 0.597 0.125 0.972
Be4 Be 0.875 0.847 0.472
```

Summary:
Crystal system = tetragonal
Space group = I-42d (122)
Energy above the most stable polymorph in this dataset = 631.8 meV/atom

***

A plane-wave DFT calculation with PBE-GGA was carried out for a geometry-optimized Zr5Pb structure.

Cell and atoms, written as CIF:
```
data_Zr5Pb
_symmetry_space_group_name_H-M 'P 1'
_symmetry_Int_Tables_number 1
_cell_length_a 5.248
_cell_length_b 8.421
_cell_length_c 8.421
_cell_angle_alpha 22.29
_cell_angle_beta 90.00
_cell_angle_gamma 90.00
loop_
_symmetry_equiv_pos_as_xyz
'x,y,z'
loop_
_atom_site_label
_atom_site_type_symbol
_atom_site_fract_x
_atom_site_fract_y
_atom_site_fract_z
Zr1 Zr 0.000 0.000 0.000
Zr2 Zr 0.000 0.327 0.327
Zr3 Zr 0.000 0.660 0.660
Zr4 Zr 0.500 0.117 0.117
Zr5 Zr 0.500 0.449 0.449
Pb1 Pb 0.500 0.780 0.780
```

Summary:
Crystal system = orthorhombic
Space group = Amm2 (38)

***

A plane-wave DFT calculation with PBE-GGA was carried out for a geometry-optimized Th6OsPt5 structure.

Cell and atoms, written as CIF:
```
data_Th6OsPt5
_symmetry_space_group_name_H-M 'P 1'
_symmetry_Int_Tables_number 1
_cell_length_a 7.247
_cell_length_b 7.247
_cell_length_c 7.236
_cell_angle_alpha 99.58
_cell_angle_beta 99.58
_cell_angle_gamma 119.85
loop_
_symmetry_equiv_pos_as_xyz
'x,y,z'
loop_
_atom_site_label
_atom_site_type_symbol
_atom_site_fract_x
_atom_site_fract_y
_atom_site_fract_z
Th1 Th 0.081 0.404 0.743
Th2 Th 0.240 0.240 0.253
Th3 Th 0.404 0.081 0.743
Th4 Th 0.596 0.919 0.257
Th5 Th 0.760 0.760 0.747
Th6 Th 0.919 0.596 0.257
Os1 Os 0.000 0.000 0.500
Pt1 Pt 0.171 0.829 0.000
Pt2 Pt 0.334 0.666 0.500
Pt3 Pt 0.500 0.500 0.000
Pt4 Pt 0.666 0.334 0.500
Pt5 Pt 0.829 0.171 0.000
```

Summary:
Crystal system = monoclinic
Space group = C2/m (12)

***

A plane-wave DFT calculation with PBE-GGA was carried out for a geometry-optimized LaPrSm5Er2 structure.

Cell and atoms, written as CIF:
```
data_LaPrSm5Er2
_symmetry_space_group_name_H-M 'P 1'
_symmetry_Int_Tables_number 1
_cell_length_a 10.466
_cell_length_b 10.466
_cell_length_c 10.760
_cell_angle_alpha 90.00
_cell_angle_beta 90.00
_cell_angle_gamma 148.42
loop_
_symmetry_equiv_pos_as_xyz
'x,y,z'
loop_
_atom_site_label
_atom_site_type_symbol
_atom_site_fract_x
_atom_site_fract_y
_atom_site_fract_z
La1 La 0.082 0.918 0.500
La2 La 0.918 0.082 0.000
Pr1 Pr 0.297 0.703 0.062
Pr2 Pr 0.703 0.297 0.562
Sm1 Sm 0.022 0.978 0.790
Sm2 Sm 0.110 0.890 0.078
Sm3 Sm 0.204 0.796 0.757
Sm4 Sm 0.218 0.782 0.361
Sm5 Sm 0.483 0.517 0.079
Sm6 Sm 0.517 0.483 0.579
Sm7 Sm 0.782 0.218 0.861
Sm8 Sm 0.796 0.204 0.257
Sm9 Sm 0.890 0.110 0.578
Sm10 Sm 0.978 0.022 0.290
Er1 Er 0.384 0.616 0.374
Er2 Er 0.389 0.611 0.786
Er3 Er 0.611 0.389 0.286
Er4 Er 0.616 0.384 0.874
```

Summary:
Crystal system = orthorhombic
Space group = Cmc2_1 (36)

***

A plane-wave DFT calculation with PBE-GGA was carried out for a geometry-optimized GeSbPd4 structure.

Cell and atoms, written as CIF:
```
data_GeSbPd4
_symmetry_space_group_name_H-M 'P 1'
_symmetry_Int_Tables_number 1
_cell_length_a 7.076
_cell_length_b 3.343
_cell_length_c 16.785
_cell_angle_alpha 90.00
_cell_angle_beta 90.00
_cell_angle_gamma 90.00
loop_
_symmetry_equiv_pos_as_xyz
'x,y,z'
loop_
_atom_site_label
_atom_site_type_symbol
_atom_site_fract_x
_atom_site_fract_y
_atom_site_fract_z
Ge1 Ge 0.247 0.250 0.054
Ge2 Ge 0.253 0.750 0.554
Ge3 Ge 0.747 0.250 0.446
Ge4 Ge 0.753 0.750 0.946
Sb1 Sb 0.229 0.750 0.312
Sb2 Sb 0.271 0.250 0.812
Sb3 Sb 0.729 0.750 0.188
Sb4 Sb 0.771 0.250 0.688
Pd1 Pd 0.030 0.250 0.932
Pd2 Pd 0.041 0.250 0.208
Pd3 Pd 0.115 0.250 0.446
Pd4 Pd 0.139 0.250 0.658
Pd5 Pd 0.361 0.750 0.158
Pd6 Pd 0.385 0.750 0.946
Pd7 Pd 0.459 0.750 0.708
Pd8 Pd 0.470 0.750 0.432
Pd9 Pd 0.530 0.250 0.568
Pd10 Pd 0.541 0.250 0.292
Pd11 Pd 0.615 0.250 0.054
Pd12 Pd 0.639 0.250 0.842
Pd13 Pd 0.861 0.750 0.342
Pd14 Pd 0.885 0.750 0.554
Pd15 Pd 0.959 0.750 0.792
Pd16 Pd 0.970 0.750 0.068
```

Summary:
Crystal system = orthorhombic
Space group = Pnma (62)
Raw formation energy = -0.481 eV/atom
Energy above the most stable polymorph in this dataset = 0.0 meV/atom

***

A plane-wave DFT calculation with PBE-GGA was carried out for a geometry-optimized PaZnAgPt structure.

Cell and atoms, written as CIF:
```
data_PaZnAgPt
_symmetry_space_group_name_H-M 'P 1'
_symmetry_Int_Tables_number 1
_cell_length_a 4.808
_cell_length_b 4.808
_cell_length_c 4.808
_cell_angle_alpha 60.00
_cell_angle_beta 60.00
_cell_angle_gamma 60.00
loop_
_symmetry_equiv_pos_as_xyz
'x,y,z'
loop_
_atom_site_label
_atom_site_type_symbol
_atom_site_fract_x
_atom_site_fract_y
_atom_site_fract_z
Pa1 Pa 0.000 0.000 0.000
Zn1 Zn 0.500 0.500 0.500
Ag1 Ag 0.750 0.750 0.750
Pt1 Pt 0.250 0.250 0.250
```

Summary:
Crystal system = cubic
Space group = F-43m (216)

***

A plane-wave DFT calculation with PBE-GGA was carried out for a geometry-optimized TmPdRh4 structure.

Cell and atoms, written as CIF:
```
data_TmPdRh4
_symmetry_space_group_name_H-M 'P 1'
_symmetry_Int_Tables_number 1
_cell_length_a 5.201
_cell_length_b 5.201
_cell_length_c 5.201
_cell_angle_alpha 60.00
_cell_angle_beta 60.00
_cell_angle_gamma 60.00
loop_
_symmetry_equiv_pos_as_xyz
'x,y,z'
loop_
_atom_site_label
_atom_site_type_symbol
_atom_site_fract_x
_atom_site_fract_y
_atom_site_fract_z
Tm1 Tm 0.000 0.000 0.000
Pd1 Pd 0.250 0.250 0.250
Rh1 Rh 0.126 0.625 0.625
Rh2 Rh 0.625 0.126 0.625
Rh3 Rh 0.625 0.625 0.126
Rh4 Rh 0.625 0.625 0.625
```

Summary:
Crystal system = cubic
Space group = F-43m (216)

***

A plane-wave DFT calculation with PBE-GGA was carried out for a geometry-optimized Ba2H6PbAu2 structure.

Cell and atoms, written as CIF:
```
data_Ba2H6PbAu2
_symmetry_space_group_name_H-M 'P 1'
_symmetry_Int_Tables_number 1
_cell_length_a 6.530
_cell_length_b 6.530
_cell_length_c 7.313
_cell_angle_alpha 118.91
_cell_angle_beta 118.91
_cell_angle_gamma 46.54
loop_
_symmetry_equiv_pos_as_xyz
'x,y,z'
loop_
_atom_site_label
_atom_site_type_symbol
_atom_site_fract_x
_atom_site_fract_y
_atom_site_fract_z
Ba1 Ba 0.212 0.212 0.228
Ba2 Ba 0.788 0.788 0.772
H1 H 0.144 0.637 0.152
H2 H 0.328 0.328 0.677
H3 H 0.363 0.856 0.848
H4 H 0.637 0.144 0.152
H5 H 0.672 0.672 0.323
H6 H 0.856 0.363 0.848
Pb1 Pb 0.000 0.000 0.500
Au1 Au 0.492 0.492 0.777
Au2 Au 0.508 0.508 0.223
```

Summary:
Crystal system = monoclinic
Space group = C2/m (12)

***

no.,VASP energy (eV per atom),mass density (g cm⁻³)
1,-3.74,2.96
2,-7.78,7.80
3,-8.25,13.66
4,-4.56,7.35
5,-5.40,10.37
6,-5.23,12.67
7,-6.82,11.47
8,-3.38,7.61